(1)
Material: Ba2MgNi
Method: DFT, PBE
State: relaxed Values from VASP.

Results
- final energy (eV/cell) = -21.848
- size of the total moment (μB per cell) = 0.0
- energy of formation from the pure elements (meV per atom) = 74

Geometry as Quantum ESPRESSO input:
```
&SYSTEM
  ibrav = 0, nat = 8, ntyp = 3
/
ATOMIC_SPECIES
Ni 58.69 Ni.upf
Mg 24.30 Mg.upf
Ba 137.33 Ba.upf
CELL_PARAMETERS angstrom
11.539 0.000 0.000
0.000 11.539 0.000
5.769 5.769 2.530
ATOMIC_POSITIONS crystal
Ni 0.000 0.000 0.000
Ni 0.750 0.250 0.500
Mg 0.500 0.500 0.000
Mg 0.250 0.750 0.500
Ba 0.799 0.125 0.250
Ba 0.951 0.625 0.250
Ba 0.375 0.201 0.750
Ba 0.875 0.049 0.750
```

***

(2)
Material: Ba2MgNi
Method: DFT, PBE
State: relaxed Values from VASP.

Results
- final energy (eV/cell) = -10.962
- size of the total moment (μB per cell) = 0.0
- energy of formation from the pure elements (meV per atom) = 65

Geometry as Quantum ESPRESSO input:
```
&SYSTEM
  ibrav = 0, nat = 4, ntyp = 3
/
ATOMIC_SPECIES
Ba 137.33 Ba.upf
Mg 24.30 Mg.upf
Ni 58.69 Ni.upf
CELL_PARAMETERS angstrom
-4.260 0.995 1.793
-0.063 -4.266 2.217
2.821 0.571 6.387
ATOMIC_POSITIONS crystal
Ba 0.000 0.983 0.909
Ba 0.500 0.256 0.363
Mg 0.000 0.675 0.526
Ni 0.500 0.586 0.703
```